# GGA-PBE MgP2Pt, relaxed
# - crystal system = tetragonal
# - calculated total energy (eV per atom) = -4.590
# - DOS(E_F) (states/eV per cell) = 2.302
# - formation energy (kcal/mol of atoms) = 0.5
# - size of the total moment (μB per atom) = 0.000
data_MgP2Pt
_symmetry_space_group_name_H-M 'P 4/m m m'
_symmetry_Int_Tables_number 123
_symmetry_space_group_name_Hall '-P 4 2'
_cell_length_a 3.051
_cell_length_b 3.051
_cell_length_c 6.880
_cell_angle_alpha 90.00
_cell_angle_beta 90.00
_cell_angle_gamma 90.00
loop_
_atom_site_label
_atom_site_fract_x
_atom_site_fract_y
_atom_site_fract_z
Mg1 0.000 0.000 0.000
P1 0.500 0.500 0.269
Pt1 0.000 0.000 0.500

---

# GGA-PBE Mg2PPt, relaxed
# - crystal system = monoclinic
# - calculated total energy (eV per atom) = -4.193
# - DOS(E_F) (states/eV per cell) = 0.651
# - formation energy (kcal/mol of atoms) = -12.3
# - size of the total moment (μB per atom) = 0.000
data_Mg2PPt
_symmetry_space_group_name_H-M 'P 1 2/m 1'
_symmetry_Int_Tables_number 10
_cell_length_a 4.747
_cell_length_b 2.925
_cell_length_c 4.778
_cell_angle_alpha 90.00
_cell_angle_beta 101.76
_cell_angle_gamma 90.00
loop_
_symmetry_equiv_pos_as_xyz
'x,y,z'
'-x,-y,-z'
'-x,y,-z'
'x,-y,z'
loop_
_atom_site_label
_atom_site_fract_x
_atom_site_fract_y
_atom_site_fract_z
Mg1 0.000 0.000 0.000
Mg2 0.500 0.000 0.500
P1 0.000 0.500 0.500
Pt1 0.500 0.500 0.000

---

# GGA-PBE Mg2PPt, relaxed
# - crystal system = trigonal
# - calculated total energy (eV per atom) = -3.963
# - DOS(E_F) (states/eV per cell) = 8.054
# - formation energy (kcal/mol of atoms) = -7.0
# - size of the total moment (μB per atom) = 0.000
data_Mg2PPt
_symmetry_space_group_name_H-M 'R -3 m'
_symmetry_Int_Tables_number 166
_symmetry_space_group_name_Hall '-R 3 2"'
_cell_length_a 3.0876
_cell_length_b 3.0876
_cell_length_c 24.5576
_cell_angle_alpha 90.00
_cell_angle_beta 90.00
_cell_angle_gamma 120.00
loop_
_atom_site_label
_atom_site_fract_x
_atom_site_fract_y
_atom_site_fract_z
Mg1 0.0000 0.0000 0.2501
P1 0.0000 0.0000 0.0000
Pt1 0.0000 0.0000 0.5000

---

# GGA-PBE MgP2Pt, relaxed
# - crystal system = tetragonal
# - calculated total energy (eV per atom) = -4.788
# - DOS(E_F) (states/eV per cell) = 2.331
# - formation energy (kcal/mol of atoms) = -4.0
# - size of the total moment (μB per atom) = 0.000
data_MgP2Pt
_symmetry_space_group_name_H-M 'P 4 m m'
_symmetry_Int_Tables_number 99
_cell_length_a 3.554
_cell_length_b 3.554
_cell_length_c 5.203
_cell_angle_alpha 90.00
_cell_angle_beta 90.00
_cell_angle_gamma 90.00
loop_
_symmetry_equiv_pos_as_xyz
'x,y,z'
'-y,x,z'
'-x,-y,z'
'y,-x,z'
'-x,y,z'
'y,x,z'
'x,-y,z'
'-y,-x,z'
loop_
_atom_site_label
_atom_site_fract_x
_atom_site_fract_y
_atom_site_fract_z
Mg1 0.000 0.000 0.000
P1 0.000 0.000 0.502
P2 0.500 0.500 0.119
Pt1 0.500 0.500 0.600

---

# GGA-PBE MgP2Pt, relaxed
# - crystal system = monoclinic
# - calculated total energy (eV per atom) = -4.770
# - DOS(E_F) (states/eV per cell) = 1.916
# - formation energy (kcal/mol of atoms) = -3.6
# - size of the total moment (μB per atom) = 0.000
data_MgP2Pt
_symmetry_space_group_name_H-M 'P 1 2/m 1'
_symmetry_Int_Tables_number 10
_cell_length_a 4.123
_cell_length_b 3.094
_cell_length_c 5.182
_cell_angle_alpha 90.00
_cell_angle_beta 96.65
_cell_angle_gamma 90.00
loop_
_symmetry_equiv_pos_as_xyz
'x,y,z'
'-x,-y,-z'
'-x,y,-z'
'x,-y,z'
loop_
_atom_site_label
_atom_site_fract_x
_atom_site_fract_y
_atom_site_fract_z
Mg1 0.000 0.000 0.000
P1 0.000 0.000 0.500
P2 0.500 0.500 0.000
Pt1 0.500 0.500 0.500

---

# GGA-PBE Mg2PPt, relaxed
# - crystal system = monoclinic
# - calculated total energy (eV per atom) = -4.182
# - DOS(E_F) (states/eV per cell) = 3.611
# - formation energy (kcal/mol of atoms) = -12.0
# - size of the total moment (μB per atom) = 0.000
data_Mg2PPt
_symmetry_space_group_name_H-M 'C 1 m 1'
_symmetry_Int_Tables_number 8
_cell_length_a 10.353
_cell_length_b 2.899
_cell_length_c 4.687
_cell_angle_alpha 90.00
_cell_angle_beta 105.96
_cell_angle_gamma 90.00
loop_
_symmetry_equiv_pos_as_xyz
'x,y,z'
'x,-y,z'
'x+1/2,y+1/2,z'
'x+1/2,-y+1/2,z'
loop_
_atom_site_label
_atom_site_fract_x
_atom_site_fract_y
_atom_site_fract_z
Mg1 0.000 0.000 0.000
Mg2 0.198 0.000 0.633
P1 0.434 0.000 0.459
Pt1 0.249 0.500 0.156

---

# GGA-PBE Mg2PPt, relaxed
# - crystal system = hexagonal
# - calculated total energy (eV per atom) = -4.065
# - DOS(E_F) (states/eV per cell) = 4.056
# - formation energy (kcal/mol of atoms) = -9.3
# - size of the total moment (μB per atom) = 0.000
data_Mg2PPt
_symmetry_space_group_name_H-M 'P 63/m m c'
_symmetry_Int_Tables_number 194
_symmetry_space_group_name_Hall '-P 6c 2c'
_cell_length_a 3.9690
_cell_length_b 3.9690
_cell_length_c 12.2700
_cell_angle_alpha 90.00
_cell_angle_beta 90.00
_cell_angle_gamma 120.00
loop_
_atom_site_label
_atom_site_fract_x
_atom_site_fract_y
_atom_site_fract_z
Mg1 0.3333 0.6667 0.0987
P1 0.3333 0.6667 0.7500
Pt1 0.0000 0.0000 0.2500

---

# GGA-PBE Mg2PPt2, relaxed
# - crystal system = tetragonal
# - calculated total energy (eV per atom) = -4.355
# - DOS(E_F) (states/eV per cell) = 4.905
# - formation energy (kcal/mol of atoms) = -5.0
# - relative energy among the computed polymorphs (eV per formula unit) = 1.756
# - size of the total moment (μB per atom) = 0.000
data_Mg2PPt2
_symmetry_space_group_name_H-M 'I 4/m m m'
_symmetry_Int_Tables_number 139
_symmetry_space_group_name_Hall '-I 4 2'
_cell_length_a 3.634
_cell_length_b 3.634
_cell_length_c 14.537
_cell_angle_alpha 90.00
_cell_angle_beta 90.00
_cell_angle_gamma 90.00
loop_
_atom_site_label
_atom_site_fract_x
_atom_site_fract_y
_atom_site_fract_z
Mg1 0.000 0.000 0.104
P1 0.000 0.000 0.500
Pt1 0.000 0.500 0.250

---

# GGA-PBE MgP2Pt, relaxed
# - crystal system = orthorhombic
# - calculated total energy (eV per atom) = -4.800
# - DOS(E_F) (states/eV per cell) = 3.276
# - formation energy (kcal/mol of atoms) = -4.3
# - size of the total moment (μB per atom) = 0.000
data_MgP2Pt
_symmetry_space_group_name_H-M 'I m m 2'
_symmetry_Int_Tables_number 44
_cell_length_a 3.434
_cell_length_b 3.466
_cell_length_c 11.288
_cell_angle_alpha 90.00
_cell_angle_beta 90.00
_cell_angle_gamma 90.00
loop_
_symmetry_equiv_pos_as_xyz
'x,y,z'
'-x,-y,z'
'-x,y,z'
'x,-y,z'
'x+1/2,y+1/2,z+1/2'
'-x+1/2,-y+1/2,z+1/2'
'-x+1/2,y+1/2,z+1/2'
'x+1/2,-y+1/2,z+1/2'
loop_
_atom_site_label
_atom_site_fract_x
_atom_site_fract_y
_atom_site_fract_z
Mg1 0.000 0.000 0.000
P1 0.000 0.000 0.405
P2 0.000 0.500 0.182
Pt1 0.000 0.500 0.750

---

# GGA-PBE MgP2Pt, relaxed
# - crystal system = orthorhombic
# - calculated total energy (eV per atom) = -4.760
# - DOS(E_F) (states/eV per cell) = 1.794
# - formation energy (kcal/mol of atoms) = -3.4
# - size of the total moment (μB per atom) = 0.000
data_MgP2Pt
_symmetry_space_group_name_H-M 'C m m m'
_symmetry_Int_Tables_number 65
_symmetry_space_group_name_Hall '-C 2 2'
_cell_length_a 5.319
_cell_length_b 6.731
_cell_length_c 3.466
_cell_angle_alpha 90.00
_cell_angle_beta 90.00
_cell_angle_gamma 90.00
loop_
_atom_site_label
_atom_site_fract_x
_atom_site_fract_y
_atom_site_fract_z
Mg1 0.000 0.000 0.000
P1 0.250 0.250 0.500
Pt1 0.000 0.500 0.000

---

# GGA-PBE Mg2PPt, relaxed
# - crystal system = tetragonal
# - calculated total energy (eV per atom) = -3.932
# - DOS(E_F) (states/eV per cell) = 2.589
# - formation energy (kcal/mol of atoms) = -6.3
# - size of the total moment (μB per atom) = 0.000
data_Mg2PPt
_symmetry_space_group_name_H-M 'P 4 m m'
_symmetry_Int_Tables_number 99
_cell_length_a 3.272
_cell_length_b 3.272
_cell_length_c 6.877
_cell_angle_alpha 90.00
_cell_angle_beta 90.00
_cell_angle_gamma 90.00
loop_
_symmetry_equiv_pos_as_xyz
'x,y,z'
'-y,x,z'
'-x,-y,z'
'y,-x,z'
'-x,y,z'
'y,x,z'
'x,-y,z'
'-y,-x,z'
loop_
_atom_site_label
_atom_site_fract_x
_atom_site_fract_y
_atom_site_fract_z
Mg1 0.000 0.000 0.000
Mg2 0.500 0.500 0.319
P1 0.000 0.000 0.593
Pt1 0.500 0.500 0.733

---

# GGA-PBE MgP2Pt, relaxed
# - crystal system = monoclinic
# - calculated total energy (eV per atom) = -5.107
# - DOS(E_F) (states/eV per cell) = 0.742
# - formation energy (kcal/mol of atoms) = -11.4
# - size of the total moment (μB per atom) = 0.000
data_MgP2Pt
_symmetry_space_group_name_H-M 'P 1 2/m 1'
_symmetry_Int_Tables_number 10
_cell_length_a 4.304
_cell_length_b 3.737
_cell_length_c 4.587
_cell_angle_alpha 90.00
_cell_angle_beta 100.00
_cell_angle_gamma 90.00
loop_
_symmetry_equiv_pos_as_xyz
'x,y,z'
'-x,-y,-z'
'-x,y,-z'
'x,-y,z'
loop_
_atom_site_label
_atom_site_fract_x
_atom_site_fract_y
_atom_site_fract_z
Mg1 0.000 0.000 0.000
P1 0.222 0.500 0.659
Pt1 0.500 0.000 0.500

---

# GGA-PBE Mg2PPt, relaxed
# - crystal system = monoclinic
# - calculated total energy (eV per atom) = -4.310
# - DOS(E_F) (states/eV per cell) = 1.670
# - formation energy (kcal/mol of atoms) = -15.0
# - size of the total moment (μB per atom) = 0.000
data_Mg2PPt
_symmetry_space_group_name_H-M 'P 1 m 1'
_symmetry_Int_Tables_number 6
_cell_length_a 3.984
_cell_length_b 3.610
_cell_length_c 5.338
_cell_angle_alpha 90.00
_cell_angle_beta 111.83
_cell_angle_gamma 90.00
loop_
_symmetry_equiv_pos_as_xyz
'x,y,z'
'x,-y,z'
loop_
_atom_site_label
_atom_site_fract_x
_atom_site_fract_y
_atom_site_fract_z
Mg1 0.000 0.000 0.000
Mg2 0.300 0.500 0.599
P1 0.734 0.000 0.465
Pt1 0.579 0.500 0.158

---

# GGA-PBE RbMgP2Pt4, relaxed
# - crystal system = tetragonal
# - calculated total energy (eV per atom) = -5.289
# - DOS(E_F) (states/eV per cell) = 3.408
# - formation energy (kcal/mol of atoms) = -13.7
# - size of the total moment (μB per atom) = 0.000
data_RbMgP2Pt4
_symmetry_space_group_name_H-M 'P 4/m m m'
_symmetry_Int_Tables_number 123
_symmetry_space_group_name_Hall '-P 4 2'
_cell_length_a 4.041
_cell_length_b 4.041
_cell_length_c 10.376
_cell_angle_alpha 90.00
_cell_angle_beta 90.00
_cell_angle_gamma 90.00
loop_
_atom_site_label
_atom_site_fract_x
_atom_site_fract_y
_atom_site_fract_z
Rb1 0.000 0.000 0.000
Mg1 0.000 0.000 0.500
P1 0.500 0.500 0.209
Pt1 0.000 0.500 0.319

---

# GGA-PBE Mg2SiPPt6, relaxed
# - crystal system = orthorhombic
# - calculated total energy (eV per atom) = -5.567
# - DOS(E_F) (states/eV per cell) = 6.624
# - formation energy from raw total energies (meV/atom) = -541
# - size of the total moment (μB per atom) = 0.000
data_Mg2SiPPt6
_symmetry_space_group_name_H-M 'P m m n'
_symmetry_Int_Tables_number 59
_cell_length_a 5.522
_cell_length_b 8.472
_cell_length_c 7.773
_cell_angle_alpha 90.00
_cell_angle_beta 90.00
_cell_angle_gamma 90.00
loop_
_symmetry_equiv_pos_as_xyz
'x,y,z'
'-x,-y,-z'
'-x+1/2,-y+1/2,z'
'x+1/2,y+1/2,-z'
'x+1/2,-y,-z'
'-x+1/2,y,z'
'-x,y+1/2,-z'
'x,-y+1/2,z'
loop_
_atom_site_label
_atom_site_fract_x
_atom_site_fract_y
_atom_site_fract_z
Mg1 0.250 0.029 0.220
Si1 0.250 0.750 0.772
P1 0.250 0.250 0.748
Pt1 0.000 0.250 0.489
Pt2 0.006 0.750 0.021
Pt3 0.250 0.002 0.633

---

# GGA-PBE Sm2MgP3Pt4, relaxed
# - crystal system = tetragonal
# - calculated total energy (eV per atom) = -6.114
# - DOS(E_F) (states/eV per cell) = 6.763
# - formation energy (kcal/mol of atoms) = -22.4
# - size of the total moment (μB per atom) = 0.000
data_Sm2MgP3Pt4
_symmetry_space_group_name_H-M 'P -4 m 2'
_symmetry_Int_Tables_number 115
_cell_length_a 4.076
_cell_length_b 4.076
_cell_length_c 10.841
_cell_angle_alpha 90.00
_cell_angle_beta 90.00
_cell_angle_gamma 90.00
loop_
_symmetry_equiv_pos_as_xyz
'x,y,z'
'y,-x,-z'
'-x,-y,z'
'-y,x,-z'
'-x,y,z'
'-y,-x,-z'
'x,-y,z'
'y,x,-z'
loop_
_atom_site_label
_atom_site_fract_x
_atom_site_fract_y
_atom_site_fract_z
Sm1 0.000 0.500 0.227
Mg1 0.000 0.000 0.500
P1 0.000 0.500 0.862
P2 0.500 0.500 0.500
Pt1 0.000 0.000 0.000
Pt2 0.000 0.500 0.647
Pt3 0.500 0.500 0.000

---

# GGA-PBE Sm2MgP3Pt12, relaxed
# - crystal system = trigonal
# - calculated total energy (eV per atom) = -6.019
# - DOS(E_F) (states/eV per cell) = 20.130
# - formation energy (kcal/mol of atoms) = -11.0
# - size of the total moment (μB per atom) = 0.000
data_Sm2MgP3Pt12
_symmetry_space_group_name_H-M 'R -3 m'
_symmetry_Int_Tables_number 166
_symmetry_space_group_name_Hall '-R 3 2"'
_cell_length_a 8.2818
_cell_length_b 8.2818
_cell_length_c 17.6400
_cell_angle_alpha 90.00
_cell_angle_beta 90.00
_cell_angle_gamma 120.00
loop_
_atom_site_label
_atom_site_fract_x
_atom_site_fract_y
_atom_site_fract_z
Sm1 0.0000 0.0000 0.1071
Mg1 0.0000 0.0000 0.5000
P1 0.0000 0.5000 0.0000
Pt1 0.0073 0.5037 0.8706
Pt2 0.0354 0.5177 0.3615

---

# GGA-PBE SmMg2P2Pt7, relaxed
# - crystal system = monoclinic
# - calculated total energy (eV per atom) = -5.812
# - DOS(E_F) (states/eV per cell) = 7.925
# - formation energy (kcal/mol of atoms) = -16.8
# - size of the total moment (μB per atom) = 0.000
data_SmMg2P2Pt7
_symmetry_space_group_name_H-M 'C 1 2/m 1'
_symmetry_Int_Tables_number 12
_cell_length_a 5.671
_cell_length_b 5.631
_cell_length_c 13.839
_cell_angle_alpha 90.00
_cell_angle_beta 100.57
_cell_angle_gamma 90.00
loop_
_symmetry_equiv_pos_as_xyz
'x,y,z'
'-x,-y,-z'
'-x,y,-z'
'x,-y,z'
'x+1/2,y+1/2,z'
'-x+1/2,-y+1/2,-z'
'-x+1/2,y+1/2,-z'
'x+1/2,-y+1/2,z'
loop_
_atom_site_label
_atom_site_fract_x
_atom_site_fract_y
_atom_site_fract_z
Sm1 0.000 0.000 0.000
Mg1 0.093 0.000 0.392
P1 0.113 0.500 0.262
Pt1 0.000 0.500 0.000
Pt2 0.112 0.500 0.425
Pt3 0.175 0.249 0.833

---

# GGA-PBE MgSn2P2Pt7, relaxed
# - crystal system = tetragonal
# - calculated total energy (eV per atom) = -5.799
# - DOS(E_F) (states/eV per cell) = 11.275
# - formation energy (kcal/mol of atoms) = -13.2
# - size of the total moment (μB per atom) = 0.000
data_MgSn2P2Pt7
_symmetry_space_group_name_H-M 'I 4/m m m'
_symmetry_Int_Tables_number 139
_symmetry_space_group_name_Hall '-I 4 2'
_cell_length_a 3.892
_cell_length_b 3.892
_cell_length_c 29.699
_cell_angle_alpha 90.00
_cell_angle_beta 90.00
_cell_angle_gamma 90.00
loop_
_atom_site_label
_atom_site_fract_x
_atom_site_fract_y
_atom_site_fract_z
Mg1 0.000 0.000 0.000
Sn1 0.000 0.000 0.212
P1 0.000 0.000 0.385
Pt1 0.000 0.000 0.307
Pt2 0.000 0.000 0.500
Pt3 0.000 0.500 0.071

---

# GGA-PBE Sr2MgP3Pt12, relaxed
# - crystal system = trigonal
# - calculated total energy (eV per atom) = -5.603
# - DOS(E_F) (states/eV per cell) = 13.164
# - formation energy (kcal/mol of atoms) = -9.2
# - size of the total moment (μB per atom) = 0.000
data_Sr2MgP3Pt12
_symmetry_space_group_name_H-M 'R -3 m'
_symmetry_Int_Tables_number 166
_symmetry_space_group_name_Hall '-R 3 2"'
_cell_length_a 8.3742
_cell_length_b 8.3742
_cell_length_c 17.7906
_cell_angle_alpha 90.00
_cell_angle_beta 90.00
_cell_angle_gamma 120.00
loop_
_atom_site_label
_atom_site_fract_x
_atom_site_fract_y
_atom_site_fract_z
Sr1 0.0000 0.0000 0.1077
Mg1 0.0000 0.0000 0.5000
P1 0.0000 0.5000 0.0000
Pt1 0.0028 0.5014 0.1266
Pt2 0.0457 0.5229 0.3587